A plane-wave DFT calculation with GGA-PBE was carried out for a relaxed structure of GePtAu2.

Cell lengths 6.5325, 6.5325, 6.5325 Å; angles 90.00, 90.00, 90.00 degrees
Last column: nearest neighbours and their distance in Å.
Space group F-43m (No. 216)
Inequivalent atoms, fractional coordinates:
Ge 0.0000 0.0000 0.0000 [4 per cell]  4 Au 2.83, 4 Pt 2.83
Pt 0.2500 0.2500 0.2500 [4 per cell]  4 Ge 2.83, 4 Au 2.83
Au 0.0000 0.0000 0.5000 [4 per cell]  4 Pt 2.83, 4 Au 2.83
Au 0.2500 0.2500 0.7500 [4 per cell]  4 Ge 2.83, 4 Au 2.83

Results
Total energy: -68.41 eV per cell
Magnetic moment: 0.0 Bohr magnetons per cell

A plane-wave DFT calculation with GGA-PBE was carried out for a relaxed structure of RbGe5Au3.

Cell lengths 5.7668, 5.7668, 7.6178 Å; angles 90.00, 90.00, 120.00 degrees
Last column: nearest neighbours and their distance in Å.
Space group P6/mmm (No. 191)
Inequivalent atoms, fractional coordinates:
Rb 0.0000 0.0000 0.0000 [1 per cell]  14 Ge 3.71-3.81
Ge 0.0000 0.0000 0.5000 [1 per cell]  6 Au 2.88
Ge 0.3333 0.6667 0.2146 [4 per cell]  3 Au 2.74
Au 0.0000 0.5000 0.5000 [3 per cell]  6 Ge 2.74-2.88, 4 Au 2.88

Results
Total energy: -32.29 eV per cell

A plane-wave DFT calculation with GGA-PBE was carried out for a relaxed structure of RbGeAuS3.

Cell lengths 3.6368, 16.5513, 9.9356 Å; angles 90.00, 90.00, 90.00 degrees
Last column: nearest neighbours and their distance in Å.
Space group Cmcm (No. 63)
Inequivalent atoms, fractional coordinates:
Rb 0.0000 0.2128 0.2500 [4 per cell]  4 S 3.22-3.37, 2 Au 3.43
Ge 0.0000 0.5000 0.0000 [4 per cell]  6 S 2.52-2.58
Au 0.0000 0.1112 0.7500 [4 per cell]  2 S 2.30
S 0.0000 0.1046 0.5191 [8 per cell]  1 Au 2.30, 2 Ge 2.52
S 0.0000 0.4589 0.7500 [4 per cell]  2 Ge 2.58

Results
Total energy: -92.53 eV per cell

A plane-wave DFT calculation with GGA-PBE was carried out for a relaxed structure of RbGeAuSe2S.

Cell lengths 3.8317, 15.5234, 10.7820 Å; angles 90.00, 90.00, 90.00 degrees
Last column: nearest neighbours and their distance in Å.
Space group Cmcm (No. 63)
Inequivalent atoms, fractional coordinates:
Rb 0.0000 0.2255 0.2500 [4 per cell]  2 Se 3.40, 2 S 3.54, 2 Au 3.56
Ge 0.0000 0.5000 0.0000 [4 per cell]  4 Se 2.66, 2 S 2.75
Au 0.0000 0.0810 0.7500 [4 per cell]  2 Se 2.50, 2 S 2.61
Se 0.0000 0.1181 0.5245 [8 per cell]  1 Au 2.50, 2 Ge 2.66
S 0.0000 0.4664 0.7500 [4 per cell]  2 Au 2.61, 2 Ge 2.75

Results
Total energy: -86.44 eV per cell

A plane-wave DFT calculation with GGA-PBE was carried out for a relaxed structure of RbGeAuSeS2.

Cell lengths 3.6407, 16.9226, 10.2117 Å; angles 90.00, 90.00, 90.00 degrees
Last column: nearest neighbours and their distance in Å.
Space group Cmcm (No. 63)
Inequivalent atoms, fractional coordinates:
Rb 0.0000 0.2176 0.2500 [4 per cell]  2 S 3.40, 2 Au 3.43, 2 Se 3.44, 2 Rb 3.64
Ge 0.0000 0.5000 0.0000 [4 per cell]  4 S 2.55, 2 Se 2.66
Au 0.0000 0.1105 0.7500 [4 per cell]  2 S 2.31
Se 0.0000 0.4551 0.7500 [4 per cell]  2 Ge 2.66
S 0.0000 0.1041 0.5242 [8 per cell]  1 Au 2.31, 2 Ge 2.55

Results
Total energy: -90.64 eV per cell

A plane-wave DFT calculation with GGA-PBE was carried out for a relaxed structure of RbGeTe2AuS.

Cell lengths 3.8961, 15.7913, 11.3780 Å; angles 90.00, 90.00, 90.00 degrees
Last column: nearest neighbours and their distance in Å.
Space group Cmcm (No. 63)
Inequivalent atoms, fractional coordinates:
Rb 0.0000 0.2293 0.2500 [4 per cell]  2 S 3.44, 6 Te 3.62-3.81
Ge 0.0000 0.5000 0.0000 [4 per cell]  4 Te 2.88, 2 S 2.95
Te 0.0000 0.1313 0.5377 [8 per cell]  1 Au 2.77, 2 Ge 2.88
Au 0.0000 0.0454 0.7500 [4 per cell]  2 S 2.46
S 0.0000 0.4506 0.7500 [4 per cell]  2 Au 2.46

Results
Total energy: -81.79 eV per cell

A plane-wave DFT calculation with GGA-PBE was carried out for a relaxed structure of RbGeAuSe3.

Cell lengths 3.7472, 17.0761, 10.5537 Å; angles 90.00, 90.00, 90.00 degrees
Last column: nearest neighbours and their distance in Å.
Space group Cmcm (No. 63)
Inequivalent atoms, fractional coordinates:
Rb 0.0000 0.2203 0.2500 [4 per cell]  4 Se 3.41-3.58, 2 Au 3.44, 2 Rb 3.75
Ge 0.0000 0.5000 0.0000 [4 per cell]  6 Se 2.66-2.73
Au 0.0000 0.1105 0.7500 [4 per cell]  2 Se 2.43
Se 0.0000 0.1101 0.5196 [8 per cell]  1 Au 2.43, 2 Ge 2.66
Se 0.0000 0.4586 0.7500 [4 per cell]  2 Ge 2.73

Results
Total energy: -85.17 eV per cell

A plane-wave DFT calculation with GGA-PBE was carried out for a relaxed structure of RbGeAu3Se4.

Cell lengths 6.3977, 7.7597, 10.8551 Å; angles 90.00, 100.07, 90.00 degrees
Last column: nearest neighbours and their distance in Å.
Space group P2_1/m (No. 11)
Inequivalent atoms, fractional coordinates:
Rb 0.2185 0.2500 0.3555 [2 per cell]  3 Au 3.64-4.04, 7 Se 3.66-4.00
Ge 0.0947 0.2500 0.7783 [2 per cell]  4 Se 2.38-2.48
Au 0.3642 0.5590 0.0833 [4 per cell]  2 Se 2.51-2.54
Au 0.4732 0.7500 0.3291 [2 per cell]  1 Se 2.47
Se 0.0413 0.7500 0.0218 [2 per cell]  1 Ge 2.48, 2 Au 2.54
Se 0.1418 0.7500 0.4172 [2 per cell]  1 Ge 2.38, 1 Au 2.47
Se 0.3026 0.5100 0.7664 [4 per cell]  1 Ge 2.43, 1 Au 2.51

Results
Energy relative to the lowest polymorph listed for this composition: 0.000 eV/atom
Total energy: -64.01 eV per cell

A plane-wave DFT calculation with GGA-PBE was carried out for a relaxed structure of RbGeAu3Se4.

Cell lengths 6.6247, 6.6247, 6.6247 Å; angles 90.00, 90.00, 90.00 degrees
Last column: nearest neighbours and their distance in Å.
Space group P-43m (No. 215)
Inequivalent atoms, fractional coordinates:
Rb 0.0000 0.0000 0.0000 [1 per cell]  4 Se 3.35
Ge 0.5000 0.5000 0.5000 [1 per cell]  4 Se 2.38
Au 0.0000 0.5000 0.5000 [3 per cell]  4 Se 2.75
Se 0.2923 0.2923 0.2923 [4 per cell]  1 Ge 2.38

Results
Energy relative to the lowest polymorph listed for this composition: 0.144 eV/atom
Total energy: -30.71 eV per cell

A plane-wave DFT calculation with GGA-PBE was carried out for a relaxed structure of RbGeTeAuSe2.

Cell lengths 3.7547, 17.4475, 10.9865 Å; angles 90.00, 90.00, 90.00 degrees
Last column: nearest neighbours and their distance in Å.
Space group Cmcm (No. 63)
Inequivalent atoms, fractional coordinates:
Rb 0.0000 0.2296 0.2500 [4 per cell]  2 Au 3.41, 2 Te 3.69, 2 Se 3.70, 2 Rb 3.75
Ge 0.0000 0.5000 0.0000 [4 per cell]  4 Se 2.69, 2 Te 2.87
Te 0.0000 0.4524 0.7500 [4 per cell]  2 Ge 2.87
Au 0.0000 0.1071 0.7500 [4 per cell]  2 Se 2.45
Se 0.0000 0.1089 0.5268 [8 per cell]  1 Au 2.45, 2 Ge 2.69

Results
Total energy: -83.64 eV per cell

A plane-wave DFT calculation with GGA-PBE was carried out for a relaxed structure of ReGeAu2.

Cell lengths 6.4355, 6.4355, 6.4355 Å; angles 90.00, 90.00, 90.00 degrees
Last column: nearest neighbours and their distance in Å.
Space group F-43m (No. 216)
Inequivalent atoms, fractional coordinates:
Re 0.0000 0.0000 0.0000 [4 per cell]  4 Au 2.79, 4 Ge 2.79
Ge 0.2500 0.2500 0.7500 [4 per cell]  4 Re 2.79, 4 Au 2.79
Au 0.0000 0.0000 0.5000 [4 per cell]  4 Ge 2.79, 4 Au 2.79
Au 0.2500 0.2500 0.2500 [4 per cell]  4 Re 2.79, 4 Au 2.79

Results
Total energy: -85.20 eV per cell
Magnetic moment: 0.2 Bohr magnetons per cell

A plane-wave DFT calculation with GGA-PBE was carried out for a relaxed structure of Re2GeAu.

Cell lengths 6.3518, 6.3518, 6.3518 Å; angles 90.00, 90.00, 90.00 degrees
Last column: nearest neighbours and their distance in Å.
Space group F-43m (No. 216)
Inequivalent atoms, fractional coordinates:
Re 0.0000 0.0000 0.0000 [4 per cell]  4 Re 2.75, 4 Au 2.75
Re 0.2500 0.2500 0.2500 [4 per cell]  4 Ge 2.75, 4 Re 2.75
Ge 0.0000 0.0000 0.5000 [4 per cell]  4 Au 2.75, 4 Re 2.75
Au 0.2500 0.2500 0.7500 [4 per cell]  4 Ge 2.75, 4 Re 2.75

Results
Total energy: -119.41 eV per cell
Magnetic moment: 1.1 Bohr magnetons per cell